Record 1
Material: GaBSe2
Method: DFT, GGA-PBE
State: relaxed

Computed properties:
Magnetization = 0.00 μB per formula unit
Density = 3.81 g/cm3
Excess energy over the best structure of this formula in the dataset = 56 meV/atom
Energy relative to the elements, uncorrected = -166 meV per atom
Final energy = -4.334 eV per atom
Symmetry = No. 1

a = 4.3464 Å, b = 6.6702 Å, c = 7.5443 Å
α = 98.97°, β = 95.91°, γ = 103.23°
Fractional coordinates of all 8 atoms:
Se 0.7250 0.3233 0.3539
Se 0.5158 0.8392 0.6678
Se 0.9414 0.8992 0.0985
Se 0.0693 0.2992 0.8448
Ga 0.4404 0.1788 0.0465
Ga 0.1081 0.0327 0.5760
B 0.7351 0.0412 0.9034
B 0.9292 0.0936 0.3274

=====

Record 2
Material: Zr2AlAu
Method: DFT, GGA-PBE
State: relaxed

Computed properties:
Magnetization = 0.00 μB per formula unit
Density = 7.85 g/cm3
DOS(E_F) = 0.9369 states/eV/atom
Formation enthalpy at 0 K = -0.21 eV per atom
Final energy = -6.236 eV per atom
Symmetry = No. 160

a = 4.3439 Å, b = 4.3439 Å, c = 5.8288 Å
α = 90.00°, β = 111.88°, γ = 119.99°
Fractional coordinates of all 4 atoms:
Zr 0.5868 0.0435 0.6303
Zr 0.1714 0.8356 0.0070
Au 0.9973 0.2486 0.2460
Al 0.7445 0.6223 0.3668

=====

Record 3
Material: CsAlRu2W
Method: DFT, GGA-PBE
State: relaxed

Computed properties:
Magnetization = 0.00 μB per formula unit
Density = 6.75 g/cm3
DOS(E_F) = 0.9480 states/eV/atom
Formation enthalpy at 0 K = 1.82 eV per atom
Final energy = -5.401 eV per atom
Symmetry = No. 123

a = 4.7597 Å, b = 5.9249 Å, c = 4.7597 Å
α = 90.00°, β = 90.00°, γ = 90.00°
Fractional coordinates of all 5 atoms:
Al 0.5000 0.5000 0.5000
Ru 0.5000 0.0000 0.0000
Ru 0.0000 0.0000 0.5000
W 0.0000 0.0000 0.0000
Cs 0.0000 0.5000 0.0000